Computed, not measured: a PBEsol-optimized structure of Pr3Dy at the meta-GGA SCAN level of DFT.

Computed properties:
Formation energy from the elements in kJ/mol of formula units: 12
Space-group type: P6_3/mmc (194)
Offset from the most stable computed form in meV/atom: 18

Unit cell a=7.223 b=7.223 c=5.841 alpha=90.00 beta=90.00 gamma=120.00
Fractional coordinates of all 8 atoms:
1 Pr 0.167 0.334 0.250
2 Pr 0.167 0.833 0.250
3 Pr 0.334 0.167 0.750
4 Pr 0.666 0.833 0.250
5 Pr 0.833 0.167 0.750
6 Pr 0.833 0.666 0.750
7 Dy 0.333 0.667 0.750
8 Dy 0.667 0.333 0.250

=====

Computed, not measured: a PBEsol-optimized structure of ScAlRu2 at the meta-GGA SCAN level of DFT.

Computed properties:
Formation energy from the elements in kJ/mol of formula units: -184
Space-group type: C2/m (12)

Unit cell a=4.468 b=4.468 c=4.981 alpha=104.58 beta=104.58 gamma=39.05
Fractional coordinates of all 4 atoms:
1 Sc 0.000 0.000 0.000
2 Al 0.500 0.500 0.500
3 Ru 0.240 0.240 0.718
4 Ru 0.760 0.760 0.282

=====

Computed, not measured: a PBEsol-optimized structure of CuTePdN2 at the meta-GGA SCAN level of DFT.

Computed properties:
Space-group type: P4/mmm (123)
Total energy in eV/cell: -97.4

Unit cell a=3.750 b=3.750 c=5.499 alpha=90.00 beta=90.00 gamma=90.00
Fractional coordinates of all 5 atoms:
1 Cu 0.000 0.000 0.000
2 Te 0.000 0.000 0.500
3 Pd 0.500 0.500 0.500
4 N 0.000 0.500 0.000
5 N 0.500 0.000 0.000

=====

Copy entry 2 word for word.
Computed, not measured: a PBEsol-optimized structure of ScAlRu2 at the meta-GGA SCAN level of DFT.

Computed properties:
Formation energy from the elements in kJ/mol of formula units: -184
Space-group type: C2/m (12)

Unit cell a=4.468 b=4.468 c=4.981 alpha=104.58 beta=104.58 gamma=39.05
Fractional coordinates of all 4 atoms:
1 Sc 0.000 0.000 0.000
2 Al 0.500 0.500 0.500
3 Ru 0.240 0.240 0.718
4 Ru 0.760 0.760 0.282

=====

What did the third record say?
Computed, not measured: a PBEsol-optimized structure of CuTePdN2 at the meta-GGA SCAN level of DFT.

Computed properties:
Space-group type: P4/mmm (123)
Total energy in eV/cell: -97.4

Unit cell a=3.750 b=3.750 c=5.499 alpha=90.00 beta=90.00 gamma=90.00
Fractional coordinates of all 5 atoms:
1 Cu 0.000 0.000 0.000
2 Te 0.000 0.000 0.500
3 Pd 0.500 0.500 0.500
4 N 0.000 0.500 0.000
5 N 0.500 0.000 0.000

=====

What did the second record say?
Computed, not measured: a PBEsol-optimized structure of ScAlRu2 at the meta-GGA SCAN level of DFT.

Computed properties:
Formation energy from the elements in kJ/mol of formula units: -184
Space-group type: C2/m (12)

Unit cell a=4.468 b=4.468 c=4.981 alpha=104.58 beta=104.58 gamma=39.05
Fractional coordinates of all 4 atoms:
1 Sc 0.000 0.000 0.000
2 Al 0.500 0.500 0.500
3 Ru 0.240 0.240 0.718
4 Ru 0.760 0.760 0.282